No. 1
KZr2TaF: optimized geometry, PBE-GGA.

Its symmetry is P4/mmm, No. 123. As for the raw total energy: -6.314 eV/atom. As for the total magnetization: 0.00 μB per cell. As for the uncorrected formation energy: 0.069 eV/atom.

Structure (extended XYZ):
```
5
Lattice="-0.469 -4.507 -1.244 4.529 -0.207 -0.961 0.879 -1.313 4.425" Properties=species:S:1:pos:R:3 pbc="T T T"
K 2.265 -0.103 -0.481
F 0.000 0.000 0.000
Zr 0.440 -0.656 2.213
Zr -0.235 -2.253 -0.622
Ta 2.470 -3.013 1.110
```

***

No. 2
HgRu: optimized geometry, PBE-GGA.

The value obtained for the formation energy is 0.622 eV per atom. Its symmetry is Pmmn, No. 59. As for the raw total energy: -4.166 eV/atom. As for the total magnetization: 1.40 μB per cell.

Structure (extended XYZ):
```
12
Lattice="2.838 0.000 0.000 0.000 5.591 0.000 0.000 0.000 14.294" Properties=species:S:1:pos:R:3 pbc="T T T"
Hg 0.000 4.323 9.995
Hg 1.419 1.268 11.445
Hg 1.419 1.268 2.849
Hg 0.000 4.323 4.298
Hg 0.000 3.688 7.147
Hg 1.419 1.904 0.000
Ru 0.000 1.587 8.975
Ru 1.419 4.004 12.465
Ru 1.419 4.004 1.828
Ru 0.000 1.587 5.318
Ru 0.000 5.023 0.000
Ru 1.419 0.568 7.147
```

***

No. 3
Fe2SiBi: optimized geometry, PBE-GGA.

Its symmetry is Fm-3m, No. 225. As for the raw total energy: -6.056 eV/atom. As for the total magnetization: 1.33 μB per cell. As for the uncorrected formation energy: 0.501 eV/atom.

Structure (extended XYZ):
```
4
Lattice="0.000 3.064 3.064 3.064 0.000 3.064 3.064 3.064 0.000" Properties=species:S:1:pos:R:3 pbc="T T T"
Si 0.000 0.000 0.000
Bi 3.064 3.064 3.064
Fe 1.532 1.532 1.532
Fe 4.595 4.595 4.595
```

***

No. 4
LiAcEuPb: optimized geometry, PBE-GGA.

The value obtained for the formation energy is -0.318 eV per atom. Its symmetry is F-43m, No. 216. As for the raw total energy: -5.319 eV/atom. As for the total magnetization: 7.38 μB per cell.

Structure (extended XYZ):
```
4
Lattice="5.721 0.000 0.000 2.860 4.954 0.000 2.860 1.651 4.671" Properties=species:S:1:pos:R:3 pbc="T T T"
Pb 5.721 3.303 2.336
Eu 8.581 4.954 3.503
Ac 2.860 1.651 1.168
Li 0.000 0.000 0.000
```

***

No. 5
NdRhCl: optimized geometry, PBE-GGA.

Its symmetry is R-3m, No. 166. As for the raw total energy: -6.009 eV/atom. As for the total magnetization: 0.00 μB per cell. As for the uncorrected formation energy: -1.353 eV/atom.

Structure (extended XYZ):
```
6
Lattice="-2.242 3.657 -0.447 -4.182 0.108 1.051 0.278 3.882 9.554" Properties=species:S:1:pos:R:3 pbc="T T T"
Nd -2.619 4.317 6.834
Nd -3.527 3.331 3.324
Rh -0.920 2.581 4.923
Rh -5.226 5.066 5.234
Cl -4.370 5.995 8.542
Cl -1.775 1.653 1.616
```

***

No. 6
KRbBaSe2: optimized geometry, PBE-GGA.

Its symmetry is P4/mmm, No. 123. As for the raw total energy: -2.575 eV/atom. As for the total magnetization: 0.00 μB per cell. As for the uncorrected formation energy: -0.384 eV/atom.

Structure (extended XYZ):
```
5
Lattice="6.043 0.000 0.000 0.000 5.646 0.000 0.000 0.000 6.043" Properties=species:S:1:pos:R:3 pbc="T T T"
K 0.000 0.000 0.000
Se 0.000 0.000 3.022
Se 3.022 0.000 0.000
Ba 0.000 2.823 0.000
Rb 3.022 2.823 3.022
```

***

No. 7
KCuP2: optimized geometry, PBE-GGA.

The value obtained for the formation energy is 0.634 eV per atom. Its symmetry is P4/mmm, No. 123. As for the raw total energy: -3.369 eV/atom. As for the total magnetization: 0.00 μB per cell.

Structure (extended XYZ):
```
4
Lattice="-2.328 -2.283 -2.509 -1.642 -1.898 3.249 -3.174 3.044 0.175" Properties=species:S:1:pos:R:3 pbc="T T T"
Cu -2.751 0.381 -1.167
K -2.408 0.573 1.712
P 0.000 0.000 0.000
P -1.985 -2.090 0.370
```

***

Which of these has the highest raw total energy? KRbBaSe2

***

Which formula does entry 4 have? LiAcEuPb